No. 1
Below is IrAu at its PBEsol-relaxed geometry, with properties calculated at the SCAN level.

The calculation puts the density of states at the Fermi level at 9.08 states/eV per cell. For the offset from the most stable computed form, the calculation gives 2.66 eV per formula unit. As for the formation energy: 1.756 eV/atom.

The space group is F-43m (No. 216) and the conventional cell measures 5.760, 5.760 and 5.760 Å, with angles of 90.00, 90.00 and 90.00 degrees. The distinct sites, in fractional coordinates, are Ir at (0.000, 0.000, 0.000) and Au at (0.250, 0.250, 0.250).


No. 2
Below is TaPOs2 at its PBEsol-relaxed geometry, with properties calculated at the SCAN level.

The calculation puts the density of states at the Fermi level at 6.76 states/eV per cell. As for the formation energy: 0.305 eV/atom.

The space group is Cmmm (No. 65) and the conventional cell measures 2.969, 4.769 and 8.271 Å, with angles of 90.00, 90.00 and 90.00 degrees. The distinct sites, in fractional coordinates, are Ta at (0.000, 0.000, 0.000), P at (0.000, 0.000, 0.500) and Os at (0.000, 0.500, 0.276).


No. 3
Below is FeCoTe at its PBEsol-relaxed geometry, with properties calculated at the SCAN level.

The calculation puts the density of states at the Fermi level at 4.82 states/eV per cell. For the offset from the most stable computed form, the calculation gives 0.00 eV per formula unit. The raw formation energy is 0.377 eV/atom.

The space group is I4mm (No. 107) and the conventional cell measures 3.386, 3.386 and 7.458 Å, with angles of 90.00, 90.00 and 90.00 degrees. The distinct sites, in fractional coordinates, are Fe at (0.000, 0.000, 0.000), Co at (0.000, 0.000, 0.338) and Te at (0.000, 0.000, 0.670).


No. 4
Below is LiAlFeO3 at its PBEsol-relaxed geometry, with properties calculated at the SCAN level.

The raw formation energy is -2.391 eV/atom.

The space group is P-1 (No. 2) and the conventional cell measures 5.202, 5.238 and 5.512 Å, with angles of 65.72, 65.19 and 65.95 degrees. The distinct sites, in fractional coordinates, are Li at (0.074, 0.437, 0.247), Al at (0.412, 0.744, 0.587), Fe at (0.276, 0.934, 0.066), O at (0.103, 0.754, 0.895), O at (0.281, 0.590, 0.414) and O at (0.407, 0.084, 0.299).


No. 5
Below is FeCo2 at its PBEsol-relaxed geometry, with properties calculated at the SCAN level.

The calculation puts the density of states at the Fermi level at 7.74 states/eV per cell. As for the formation energy: -0.109 eV/atom.

The space group is Cmmm (No. 65) and the conventional cell measures 2.777, 11.831 and 3.924 Å, with angles of 90.00, 90.00 and 90.00 degrees. The distinct sites, in fractional coordinates, are Fe at (0.000, 0.166, 0.000), Co at (0.000, 0.000, 0.500), Co at (0.000, 0.334, 0.500) and Co at (0.000, 0.500, 0.000).


No. 6
Below is Li2MnSiO4 at its PBEsol-relaxed geometry, with properties calculated at the SCAN level.

The calculation puts the density of states at the Fermi level at 0.00 states/eV per cell. For the offset from the most stable computed form, the calculation gives 0.00 eV per formula unit. The raw formation energy is -2.597 eV/atom.

The space group is Pnma (No. 62) and the conventional cell measures 10.721, 6.260 and 5.001 Å, with angles of 90.00, 90.00 and 90.00 degrees. The distinct sites, in fractional coordinates, are Li at (0.088, 0.001, 0.182), Mn at (0.164, 0.250, 0.681), Si at (0.162, 0.750, 0.674), O at (0.091, 0.535, 0.788), O at (0.160, 0.750, 0.345) and O at (0.191, 0.250, 0.276).


No. 7
Below is TlHg2PW at its PBEsol-relaxed geometry, with properties calculated at the SCAN level.

The calculation puts the density of states at the Fermi level at 2.61 states/eV per cell. As for the formation energy: 0.924 eV/atom.

The space group is P4/mmm (No. 123) and the conventional cell measures 5.062, 5.062 and 4.561 Å, with angles of 90.00, 90.00 and 90.00 degrees. The distinct sites, in fractional coordinates, are Tl at (0.000, 0.000, 0.000), Hg at (0.000, 0.500, 0.500), P at (0.500, 0.500, 0.500) and W at (0.500, 0.500, 0.000).


No. 8
Below is CaTeS3 at its PBEsol-relaxed geometry, with properties calculated at the SCAN level.

The calculation puts the density of states at the Fermi level at 5.36 states/eV per cell. The raw formation energy is 0.270 eV/atom.

The space group is Pm-3m (No. 221) and the conventional cell measures 5.073, 5.073 and 5.073 Å, with angles of 90.00, 90.00 and 90.00 degrees. The distinct sites, in fractional coordinates, are Ca at (0.000, 0.000, 0.000), Te at (0.500, 0.500, 0.500) and S at (0.000, 0.000, 0.500).